[1]
A relaxed structure of Li2NdGa4, computed with PBE.

The space group is Immm (No. 71) and the conventional cell measures 3.208, 4.312 and 19.827 Å, with angles of 90.00, 90.00 and 90.00 degrees. Symmetry generates all atoms from Li at (0.000, 0.000, 0.206), Nd at (0.000, 0.500, 0.000), Ga at (0.000, 0.000, 0.346) and Ga at (0.000, 0.500, 0.416).

For the formation energy, the calculation gives -0.359 eV/atom.

[2]
A relaxed structure of Dy3Y3TmS8, computed with PBE.

The space group is R-3m (No. 166, hexagonal axes) and the conventional cell measures 7.7983, 7.7983 and 19.1135 Å, with angles of 90.00, 90.00 and 120.00 degrees. Symmetry generates all atoms from Dy at (0.0000, 0.5000, 0.0000), Y at (0.0000, 0.5000, 0.5000), Tm at (0.0000, 0.0000, 0.0000), S at (0.0000, 0.0000, 0.2503) and S at (0.0025, 0.5012, 0.7490).

The formation energy from raw total energies comes out at -2.053 eV/atom.

[3]
A relaxed structure of CeNi3Ru, computed with PBE.

The space group is Cmmm (No. 65) and the conventional cell measures 4.732, 7.189 and 4.904 Å, with angles of 90.00, 90.00 and 90.00 degrees. Symmetry generates all atoms from Ce at (0.000, 0.000, 0.000), Ni at (0.000, 0.170, 0.500), Ni at (0.000, 0.500, 0.000) and Ru at (0.000, 0.500, 0.500).

For the formation energy, the calculation gives 0.189 eV/atom.

[4]
A relaxed structure of Zr2OsRu, computed with PBE.

The space group is P4mm (No. 99) and the conventional cell measures 3.353, 3.353 and 6.483 Å, with angles of 90.00, 90.00 and 90.00 degrees. Symmetry generates all atoms from Zr at (0.000, 0.000, 0.000), Zr at (0.500, 0.500, 0.314), Os at (0.000, 0.000, 0.519) and Ru at (0.500, 0.500, 0.797).

For the formation energy, the calculation gives -0.016 eV/atom.

[5]
A relaxed structure of ZrAlPt5, computed with PBE.

The space group is P4/mmm (No. 123) and the conventional cell measures 4.037, 4.037 and 7.138 Å, with angles of 90.00, 90.00 and 90.00 degrees. Symmetry generates all atoms from Zr at (0.000, 0.000, 0.000), Al at (0.500, 0.500, 0.500), Pt at (0.000, 0.500, 0.284) and Pt at (0.500, 0.500, 0.000).

For the formation energy, the calculation gives -0.949 eV/atom.

[6]
A relaxed structure of KZrI3, computed with PBE.

The space group is Pm-3m (No. 221) and the conventional cell measures 6.183, 6.183 and 6.183 Å, with angles of 90.00, 90.00 and 90.00 degrees. Symmetry generates all atoms from K at (0.000, 0.000, 0.000), Zr at (0.500, 0.500, 0.500) and I at (0.000, 0.000, 0.500).

The formation energy from raw total energies comes out at 0.279 eV/atom. The calculation puts the energy above the most stable polymorph in this dataset at 1.066 eV/atom.

[7]
A relaxed structure of SmEr2Sc, computed with PBE.

The space group is Cm (No. 8) and the conventional cell measures 6.072, 3.507 and 11.383 Å, with angles of 90.00, 100.26 and 90.00 degrees. Symmetry generates all atoms from Sm at (0.000, 0.000, 0.000), Er at (0.079, 0.500, 0.740), Er at (0.420, 0.000, 0.264) and Sc at (0.334, 0.500, 0.503).

For the formation energy, the calculation gives 0.028 eV/atom. The calculation puts the energy above the most stable polymorph in this dataset at 0.000 eV/atom.

[8]
A relaxed structure of YCrPb3, computed with PBE.

The space group is Pm-3m (No. 221) and the conventional cell measures 5.252, 5.252 and 5.252 Å, with angles of 90.00, 90.00 and 90.00 degrees. Symmetry generates all atoms from Y at (0.000, 0.000, 0.000), Cr at (0.500, 0.500, 0.500) and Pb at (0.000, 0.500, 0.500).

For the formation energy, the calculation gives 0.318 eV/atom. The calculation puts the energy above the most stable polymorph in this dataset at 0.000 eV/atom.

[9]
A relaxed structure of PmErTlCo, computed with PBE.

The space group is F-43m (No. 216) and the conventional cell measures 7.292, 7.292 and 7.292 Å, with angles of 90.00, 90.00 and 90.00 degrees. Symmetry generates all atoms from Pm at (0.000, 0.000, 0.000), Er at (0.000, 0.000, 0.500), Tl at (0.250, 0.250, 0.750) and Co at (0.250, 0.250, 0.250).

For the formation energy, the calculation gives -0.092 eV/atom.

[10]
A relaxed structure of ZrPb, computed with PBE.

The space group is R-3m (No. 166, hexagonal axes) and the conventional cell measures 3.3351, 3.3351 and 15.2365 Å, with angles of 90.00, 90.00 and 120.00 degrees. Symmetry generates all atoms from Zr at (0.0000, 0.0000, 0.0000) and Pb at (0.0000, 0.0000, 0.5000).

For the formation energy, the calculation gives -0.050 eV/atom.

[11]
A relaxed structure of Sr2HfSbTe, computed with PBE.

The space group is P4/mmm (No. 123) and the conventional cell measures 6.034, 6.034 and 5.926 Å, with angles of 90.00, 90.00 and 90.00 degrees. Symmetry generates all atoms from Sr at (0.000, 0.500, 0.000), Hf at (0.000, 0.000, 0.500), Sb at (0.500, 0.500, 0.500) and Te at (0.500, 0.500, 0.000).

The formation energy from raw total energies comes out at 0.448 eV/atom.

[12]
A relaxed structure of TcCl2O, computed with PBE.

The space group is Fm-3m (No. 225) and the conventional cell measures 6.014, 6.014 and 6.014 Å, with angles of 90.00, 90.00 and 90.00 degrees. Symmetry generates all atoms from Tc at (0.000, 0.000, 0.000), Cl at (0.250, 0.250, 0.250) and O at (0.000, 0.000, 0.500).

The formation energy from raw total energies comes out at 0.694 eV/atom. The calculation puts the energy above the most stable polymorph in this dataset at 1.644 eV/atom.

| no. | total DFT energy (no corrections) (eV per atom) |
| --- | --- |
| 1 | -3.3166 |
| 2 | -6.7657 |
| 3 | -6.3215 |
| 4 | -9.4164 |
| 5 | -7.0195 |
| 6 | -2.5801 |
| 7 | -5.0162 |
| 8 | -5.1243 |
| 9 | -4.7885 |
| 10 | -6.1785 |
| 11 | -3.6685 |
| 12 | -4.0601 |